# 1
Compound: KSr3Hg4
Source: Alexandria
Functional: PBE
Structure: relaxed

Structure (POSCAR):
```
KSr3Hg4
1.0
5.712 0.000 0.000
0.000 8.055 0.000
0.000 0.000 11.417
Sr K Hg
6 2 8
Direct
0.000 0.000 0.000
0.501 0.000 0.750
0.499 0.000 0.250
0.000 0.000 0.500
0.499 0.500 0.250
0.501 0.500 0.750
0.000 0.500 0.500
0.000 0.500 0.000
0.999 0.240 0.250
0.001 0.240 0.750
0.001 0.760 0.750
0.500 0.760 0.000
0.500 0.760 0.500
0.999 0.760 0.250
0.500 0.240 0.000
0.500 0.240 0.500
```

Computed properties:
- total magnetic moment (Bohr magnetons per cell) = 0.000
- DOS(E_F) (states/eV/f.u.) = 6.26
- formation enthalpy at 0 K (eV per atom) = -0.418
- theoretical density (g cm⁻³) = 7.0
- total DFT energy (no corrections) (eV for the cell shown) = -21.39
- crystal system = orthorhombic


# 2
Compound: SrYPt3
Source: Alexandria
Functional: PBE
Structure: relaxed

Structure (POSCAR):
```
SrYPt3
1.0
5.214 0.000 0.000
0.000 5.214 0.000
0.000 0.000 5.214
Pt Y Sr
3 1 1
Direct
0.000 0.000 0.500
0.500 0.000 0.000
0.000 0.500 0.000
0.000 0.000 0.000
0.500 0.500 0.500
```

Computed properties:
- total magnetic moment (Bohr magnetons per cell) = 0.000
- DOS(E_F) (states/eV/f.u.) = 4.95
- formation enthalpy at 0 K (eV per atom) = -0.105
- theoretical density (g cm⁻³) = 8.9
- total DFT energy (no corrections) (eV for the cell shown) = -26.79
- crystal system = cubic
- E above lowest polymorph (kJ/mol of formula units) = 0


theoretical density of number 2 (SrYPt3)?
8.9 g cm⁻³


The highest total DFT energy (no corrections) belongs to which entry?
KSr3Hg4